1.
VASP calculation (PBE-GGA) on an optimized crystal structure of HoPu3Cu8.

Cell: 5.235 5.235 8.503 Å, 90.00 90.00 120.00°
Positions (direct):
Ho1 0.000 0.000 0.560
Pu1 0.667 0.333 0.435
Pu2 0.667 0.333 0.053
Pu3 0.000 0.000 0.950
Cu1 0.333 0.667 0.501
Cu2 0.333 0.667 0.001
Cu3 0.499 0.998 0.747
Cu4 0.499 0.501 0.747
Cu5 0.002 0.501 0.747
Cu6 0.168 0.337 0.253
Cu7 0.168 0.832 0.253
Cu8 0.663 0.832 0.253

Values from the calculation:
- Fermi-level density of states (states/eV/f.u.) = 26.3
- E_form (eV per atom) = -0.080
- total magnetic moment (μB/atom) = 1.4481
- volume (Å³/cell) = 201.79

=====

2.
VASP calculation (PBE-GGA) on an optimized crystal structure of Ho2PuCu.

Cell: 3.436 3.436 8.479 Å, 90.00 90.00 90.00°
Positions (direct):
Ho1 0.000 0.000 0.797
Ho2 0.000 0.000 0.203
Cu1 0.500 0.500 0.000
Pu1 0.500 0.500 0.500

Values from the calculation:
- Fermi-level density of states (states/eV/f.u.) = 9.1
- E_form (eV per atom) = -0.026
- polymorph energy (0 for the lowest one) (eV per formula unit) = 0.00
- total magnetic moment (μB/atom) = 1.6351
- volume (Å³/cell) = 100.09

=====

3.
VASP calculation (PBE-GGA) on an optimized crystal structure of HoPuCu.

Cell: 3.432 3.432 6.537 Å, 105.22 105.22 90.00°
Positions (direct):
Ho1 0.306 0.306 0.611
Cu1 0.673 0.673 0.346
Pu1 0.022 0.022 0.043

Values from the calculation:
- Fermi-level density of states (states/eV/f.u.) = 8.5
- E_form (eV per atom) = 0.028
- total magnetic moment (μB/atom) = 2.0647
- volume (Å³/cell) = 71.48

=====

- What is the total magnetic moment in the first record?
  1.4481 μB/atom

=====

- Which of these has the highest E_form?
  HoPuCu